Run P
VASP calculation (PBE) on a relaxed GeBiSbI2 crystal.

a b c (Å): 5.5091 5.5091 5.7750
angles (deg): 90.00 90.00 90.00
Each line ends with the local moment (μB).
Fractional coordinates of all 5 atoms:
I  0.0000  0.5000  0.0000  0.00
I  0.5000  0.0000  0.0000  0.00
Sb  0.0000  0.0000  0.5000  -0.02
Ge  0.0000  0.0000  0.0000  0.01
Bi  0.5000  0.5000  0.5000  0.13

Values from the calculation:
Total magnetization   0.2 Bohr magnetons per cell


Run Q
VASP calculation (PBE) on a relaxed GeBiSbI2 crystal.

a b c (Å): 6.0509 6.0509 6.0619
angles (deg): 90.00 90.00 90.00
Each line ends with the local moment (μB).
Fractional coordinates of all 5 atoms:
I  0.0000  0.5000  0.0000  -0.02
I  0.5000  0.0000  0.0000  -0.02
Sb  0.0000  0.0000  0.5000  -0.33
Ge  0.5000  0.5000  0.5000  0.42
Bi  0.0000  0.0000  0.0000  0.10

Values from the calculation:
Total magnetization   0.3 Bohr magnetons per cell


Most favorable structure: run P. The second most favorable one is 264 meV/atom above it.


Run P
VASP calculation (PBE) on a relaxed GeBiTe2I crystal.

a b c (Å): 5.5171 5.5171 5.4792
angles (deg): 90.00 90.00 90.00
Fractional coordinates of all 5 atoms:
I  0.0000  0.0000  0.5000
Ge  0.0000  0.0000  0.0000
Te  0.0000  0.5000  0.0000
Te  0.5000  0.0000  0.0000
Bi  0.5000  0.5000  0.5000

Values from the calculation:
Total magnetization   0.0 Bohr magnetons per cell


Run Q
VASP calculation (PBE) on a relaxed GeBiTe2I crystal.

a b c (Å): 5.9902 5.9902 5.9159
angles (deg): 90.00 90.00 90.00
Each line ends with the local moment (μB).
Fractional coordinates of all 5 atoms:
I  0.0000  0.0000  0.5000  0.00
Ge  0.5000  0.5000  0.5000  0.21
Te  0.0000  0.5000  0.0000  -0.09
Te  0.5000  0.0000  0.0000  -0.09
Bi  0.0000  0.0000  0.0000  0.03

Values from the calculation:
Total magnetization   0.2 Bohr magnetons per cell


Most favorable structure: run P. The second most favorable one is 279 meV/atom above it.


Run P
VASP calculation (PBE) on a relaxed In2GeBi crystal.

a b c (Å): 6.5747 6.5747 7.9104
angles (deg): 65.44 65.44 90.00
Fractional coordinates of all 8 atoms:
Ge  0.5000  0.5000  0.0000
Ge  0.2500  0.7500  0.5000
Bi  0.0000  0.0000  0.0000
Bi  0.7500  0.2500  0.5000
In  0.5871  0.1250  0.2500
In  0.1629  0.6250  0.2500
In  0.3750  0.4129  0.7500
In  0.8750  0.8371  0.7500

Values from the calculation:
Total magnetization   0.0 Bohr magnetons per cell


Run Q
VASP calculation (PBE) on a relaxed In2GeBi crystal.

a b c (Å): 3.5922 3.5922 8.1681
angles (deg): 90.00 90.00 90.00
Fractional coordinates of all 4 atoms:
Ge  0.5000  0.5000  0.0000
Bi  0.5000  0.5000  0.5000
In  0.0000  0.0000  0.7851
In  0.0000  0.0000  0.2149

Values from the calculation:
Total magnetization   0.0 Bohr magnetons per cell


Most favorable structure: run P. The second most favorable one is 7 meV/atom above it.


Run P
VASP calculation (PBE) on a relaxed In2GeBi crystal.

a b c (Å): 4.4556 4.8927 4.8927
angles (deg): 90.00 90.00 90.00
Fractional coordinates of all 4 atoms:
Ge  0.5000  0.0000  0.0000
Bi  0.5000  0.5000  0.5000
In  0.0000  0.0000  0.5000
In  0.0000  0.5000  0.0000

Values from the calculation:
Total magnetization   0.0 Bohr magnetons per cell


Run Q
VASP calculation (PBE) on a relaxed In2GeBi crystal.

a b c (Å): 4.1079 4.1079 7.8995
angles (deg): 74.93 74.93 60.00
Fractional coordinates of all 4 atoms:
Ge  0.0000  0.0000  0.0000
Bi  0.5000  0.5000  0.5000
In  0.2626  0.2626  0.2122
In  0.7374  0.7374  0.7878

Values from the calculation:
Total magnetization   0.0 Bohr magnetons per cell


Most favorable structure: run Q. The second most favorable one is 22 meV/atom above it.


Run P
VASP calculation (PBE) on a relaxed InGe2Bi2 crystal.

a b c (Å): 8.6094 8.6094 3.8079
angles (deg): 90.00 90.00 90.00
Fractional coordinates of all 10 atoms:
Ge  0.1284  0.6284  0.5000
Ge  0.6284  0.8716  0.5000
Ge  0.8716  0.3716  0.5000
Ge  0.3716  0.1284  0.5000
Bi  0.3495  0.8495  0.0000
Bi  0.8495  0.6505  0.0000
Bi  0.6505  0.1505  0.0000
Bi  0.1505  0.3495  0.0000
In  0.0000  0.0000  0.0000
In  0.5000  0.5000  0.0000

Values from the calculation:
Total magnetization   0.0 Bohr magnetons per cell


Run Q
VASP calculation (PBE) on a relaxed InGe2Bi2 crystal.

a b c (Å): 8.3369 8.3369 3.8879
angles (deg): 90.00 90.00 90.00
Fractional coordinates of all 10 atoms:
Ge  0.3718  0.8718  0.0000
Ge  0.8718  0.6282  0.0000
Ge  0.6282  0.1282  0.0000
Ge  0.1282  0.3718  0.0000
Bi  0.1572  0.6572  0.5000
Bi  0.6572  0.8428  0.5000
Bi  0.8428  0.3428  0.5000
Bi  0.3428  0.1572  0.5000
In  0.0000  0.0000  0.0000
In  0.5000  0.5000  0.0000

Values from the calculation:
Total magnetization   0.0 Bohr magnetons per cell


Most favorable structure: run Q. The second most favorable one is 46 meV/atom above it.


Run P
VASP calculation (PBE) on a relaxed InGe2Bi2 crystal.

a b c (Å): 5.6004 5.6004 6.0461
angles (deg): 62.41 62.41 90.00
Fractional coordinates of all 5 atoms:
Ge  0.3592  0.3592  0.2815
Ge  0.6408  0.6408  0.7185
Bi  0.7500  0.2500  0.5000
Bi  0.2500  0.7500  0.5000
In  0.0000  0.0000  0.0000

Values from the calculation:
Total magnetization   0.0 Bohr magnetons per cell


Run Q
VASP calculation (PBE) on a relaxed InGe2Bi2 crystal.

a b c (Å): 4.4764 4.4764 8.0903
angles (deg): 73.94 73.94 90.00
Fractional coordinates of all 5 atoms:
Ge  0.7500  0.2500  0.5000
Ge  0.2500  0.7500  0.5000
Bi  0.3832  0.3832  0.2336
Bi  0.6168  0.6168  0.7664
In  0.0000  0.0000  0.0000

Values from the calculation:
Total magnetization   0.0 Bohr magnetons per cell


Most favorable structure: run P. The second most favorable one is 31 meV/atom above it.